LiSc2Br (PBE, optimized geometry); final energy = -4.109 eV per atom; symmetry = I-42d, No. 122; total moment = 1.45 μB/f.u.
1.0
-5.125 -4.726 3.720
4.243 0.623 6.636
-2.097 0.397 6.007
Sc Br Li
4 2 2
Direct
0.665 0.125 0.250 Sc
0.085 0.625 0.250 Sc
0.375 0.335 0.750 Sc
0.875 0.915 0.750 Sc
0.000 0.000 0.000 Br
0.750 0.250 0.500 Br
0.500 0.500 0.000 Li
0.250 0.750 0.500 Li

***

CsSr3C (PBE, optimized geometry); final energy = -2.490 eV per atom; symmetry = Pm-3m, No. 221; total moment = 1.02 μB/f.u.; formation enthalpy at 0 K = 0.535 eV/atom
1.0
-3.960 -4.001 -1.612
3.400 -4.242 2.176
-2.654 0.536 5.192
Cs Sr C
1 3 1
Direct
0.500 0.500 0.500 Cs
0.000 0.500 0.000 Sr
0.000 0.000 0.500 Sr
0.500 0.000 0.000 Sr
0.000 0.000 0.000 C